# Ti2TlIrPd | Alexandria via LeMat-Bulk | PBE | relaxed
data_Ti2TlIrPd
_chemical_formula_sum 'Ti2 Tl1 Ir1 Pd1'
_cell_length_a 4.717
_cell_length_b 4.717
_cell_length_c 5.130
_cell_angle_alpha 90.00
_cell_angle_beta 90.00
_cell_angle_gamma 90.00
_space_group_name_H-M_alt 'P 4/m m m'
_space_group_IT_number 123
_space_group_name_Hall '-P 4 2'
loop_
_atom_site_label
_atom_site_type_symbol
_atom_site_fract_x
_atom_site_fract_y
_atom_site_fract_z
Ti1 Ti 0.000 0.500 0.000
Tl1 Tl 0.000 0.000 0.500
Ir1 Ir 0.000 0.000 0.000
Pd1 Pd 0.500 0.500 0.500
# density of states at the Fermi level: 1.21 states/eV per atom
# final energy: -5.9987 eV/atom
# spin magnetization: 0.00 μB per formula unit

# TiVIrPd | Alexandria via LeMat-Bulk | PBE | relaxed
data_TiVIrPd
_chemical_formula_sum 'Ti4 V4 Ir4 Pd4'
_cell_length_a 6.220
_cell_length_b 6.220
_cell_length_c 6.220
_cell_angle_alpha 90.00
_cell_angle_beta 90.00
_cell_angle_gamma 90.00
_space_group_name_H-M_alt 'F -4 3 m'
_space_group_IT_number 216
_space_group_name_Hall 'F -4 2 3'
loop_
_atom_site_label
_atom_site_type_symbol
_atom_site_fract_x
_atom_site_fract_y
_atom_site_fract_z
Ti1 Ti 0.000 0.000 0.000
V1 V 0.000 0.000 0.500
Ir1 Ir 0.250 0.250 0.750
Pd1 Pd 0.250 0.250 0.250
# density of states at the Fermi level: 1.35 states/eV per atom
# final energy: -8.1622 eV/atom
# spin magnetization: 1.79 μB per formula unit

# YTiIrPd | Alexandria via LeMat-Bulk | PBE | relaxed
data_YTiIrPd
_chemical_formula_sum 'Y4 Ti4 Ir4 Pd4'
_cell_length_a 6.624
_cell_length_b 6.624
_cell_length_c 6.624
_cell_angle_alpha 90.00
_cell_angle_beta 90.00
_cell_angle_gamma 90.00
_space_group_name_H-M_alt 'F -4 3 m'
_space_group_IT_number 216
_space_group_name_Hall 'F -4 2 3'
loop_
_atom_site_label
_atom_site_type_symbol
_atom_site_fract_x
_atom_site_fract_y
_atom_site_fract_z
Y1 Y 0.000 0.000 0.000
Ti1 Ti 0.000 0.000 0.500
Ir1 Ir 0.250 0.250 0.250
Pd1 Pd 0.250 0.250 0.750
# density of states at the Fermi level: 1.16 states/eV per atom
# final energy: -7.7284 eV/atom
# spin magnetization: 0.00 μB per formula unit

# TiZnIrPd | Alexandria via LeMat-Bulk | PBE | relaxed
data_TiZnIrPd
_chemical_formula_sum 'Ti2 Zn2 Ir2 Pd2'
_cell_length_a 4.092
_cell_length_b 4.092
_cell_length_c 7.013
_cell_angle_alpha 90.00
_cell_angle_beta 90.00
_cell_angle_gamma 90.00
_space_group_name_H-M_alt 'I -4 m 2'
_space_group_IT_number 119
_space_group_name_Hall 'I -4 -2'
loop_
_atom_site_label
_atom_site_type_symbol
_atom_site_fract_x
_atom_site_fract_y
_atom_site_fract_z
Ti1 Ti 0.000 0.000 0.000
Zn1 Zn 0.000 0.000 0.500
Ir1 Ir 0.000 0.500 0.250
Pd1 Pd 0.000 0.500 0.750
# density of states at the Fermi level: 0.39 states/eV per atom
# final energy: -6.4520 eV/atom
# spin magnetization: 0.00 μB per formula unit

# ZrTiIrPd | Alexandria via LeMat-Bulk | PBE | relaxed
data_ZrTiIrPd
_chemical_formula_sum 'Zr2 Ti2 Ir2 Pd2'
_cell_length_a 4.284
_cell_length_b 4.284
_cell_length_c 7.357
_cell_angle_alpha 90.00
_cell_angle_beta 90.00
_cell_angle_gamma 90.00
_space_group_name_H-M_alt 'I -4 m 2'
_space_group_IT_number 119
_space_group_name_Hall 'I -4 -2'
loop_
_atom_site_label
_atom_site_type_symbol
_atom_site_fract_x
_atom_site_fract_y
_atom_site_fract_z
Zr1 Zr 0.000 0.000 0.000
Ti1 Ti 0.000 0.000 0.500
Ir1 Ir 0.000 0.500 0.750
Pd1 Pd 0.000 0.500 0.250
# density of states at the Fermi level: 0.84 states/eV per atom
# final energy: -8.2941 eV/atom
# spin magnetization: 0.00 μB per formula unit

# Tl2Ir2Pd | Alexandria via LeMat-Bulk | PBE | relaxed
data_Tl2Ir2Pd
_chemical_formula_sum 'Tl4 Ir4 Pd2'
_cell_length_a 6.879
_cell_length_b 6.879
_cell_length_c 4.079
_cell_angle_alpha 90.00
_cell_angle_beta 90.00
_cell_angle_gamma 90.00
_space_group_name_H-M_alt 'P 4/m b m'
_space_group_IT_number 127
_space_group_name_Hall '-P 4 2ab'
loop_
_atom_site_label
_atom_site_type_symbol
_atom_site_fract_x
_atom_site_fract_y
_atom_site_fract_z
Tl1 Tl 0.178 0.322 0.000
Ir1 Ir 0.129 0.629 0.500
Pd1 Pd 0.000 0.000 0.500
# density of states at the Fermi level: 0.55 states/eV per atom
# final energy: -5.1893 eV/atom
# spin magnetization: 0.00 μB per formula unit